# LiZrNp2N5 | the Alexandria database | PBE-GGA | optimized geometry
data_LiZrNp2N5
_chemical_formula_sum 'Li4 Zr4 Np8 N20'
_symmetry_space_group_name_H-M 'C m c 21'
_symmetry_Int_Tables_number 36
_cell_length_a 3.3032
_cell_length_b 12.7671
_cell_length_c 10.2607
_cell_angle_alpha 90.00
_cell_angle_beta 90.00
_cell_angle_gamma 90.00
loop_
_symmetry_equiv_pos_as_xyz
'x,y,z'
'-x,-y,z+1/2'
'-x,y,z'
'x,-y,z+1/2'
'x+1/2,y+1/2,z'
'-x+1/2,-y+1/2,z+1/2'
'-x+1/2,y+1/2,z'
'x+1/2,-y+1/2,z+1/2'
loop_
_atom_site_label
_atom_site_type_symbol
_atom_site_fract_x
_atom_site_fract_y
_atom_site_fract_z
_atom_site_occupancy
Li1 Li 0.0000 0.0126 0.0000 1
Zr1 Zr 0.0000 0.3027 0.5214 1
Np1 Np 0.0000 0.3672 0.8162 1
Np2 Np 0.0000 0.3919 0.1939 1
N1 N 0.0000 0.0138 0.3074 1
N2 N 0.0000 0.1377 0.5444 1
N3 N 0.0000 0.1961 0.8815 1
N4 N 0.0000 0.2131 0.1834 1
N5 N 0.0000 0.4596 0.6055 1
# **Formation energy without anion corrections**: -929 meV per atom
# **Density of states at the Fermi level**: 30.86 states/eV/cell


# La2HfNpN4 | the Alexandria database | PBE-GGA | optimized geometry
data_La2HfNpN4
_chemical_formula_sum 'La2 Hf1 Np1 N4'
_symmetry_space_group_name_H-M 'P 1 2/m 1'
_symmetry_Int_Tables_number 10
_cell_length_a 5.9364
_cell_length_b 3.4475
_cell_length_c 6.2316
_cell_angle_alpha 90.00
_cell_angle_beta 108.09
_cell_angle_gamma 90.00
loop_
_symmetry_equiv_pos_as_xyz
'x,y,z'
'-x,-y,-z'
'-x,y,-z'
'x,-y,z'
loop_
_atom_site_label
_atom_site_type_symbol
_atom_site_fract_x
_atom_site_fract_y
_atom_site_fract_z
_atom_site_occupancy
La1 La 0.0000 0.0000 0.0000 1
La2 La 0.5000 0.5000 0.0000 1
Hf1 Hf 0.0000 0.5000 0.5000 1
Np1 Np 0.5000 0.0000 0.5000 1
N1 N 0.2304 0.0000 0.6994 1
N2 N 0.2575 0.5000 0.2994 1
# **Formation energy without anion corrections**: -1418 meV per atom
# **Density of states at the Fermi level**: 7.57 states/eV/cell